(1)
## Tb4Pr2Tl3O2 (PBE-GGA)

Data for a relaxed Tb4Pr2Tl3O2 crystal.

Cell lengths 13.179, 13.179, 13.179 Å; angles 159.26, 159.26, 29.49 degrees
Atoms (fractional coordinates):
Tb (0.083, 0.583, 0.500)
Tb (0.417, 0.917, 0.500)
Tb (0.583, 0.083, 0.500)
Tb (0.917, 0.417, 0.500)
Pr (0.196, 0.196, 0.000)
Pr (0.804, 0.804, 0.000)
Tl (0.327, 0.327, 0.000)
Tl (0.500, 0.500, 0.000)
Tl (0.673, 0.673, 0.000)
O (0.097, 0.097, 0.000)
O (0.903, 0.903, 0.000)

Values from the calculation:
energy relative to the elements, uncorrected = -13.813 eV per formula unit
Fermi-level density of states = 0.545 states/eV per atom
crystal system = tetragonal

(2)
## TbPr12Tl4O3 (PBE-GGA)

Data for a relaxed TbPr12Tl4O3 crystal.

Cell lengths 9.046, 9.046, 9.046 Å; angles 109.47, 109.47, 109.47 degrees
Atoms (fractional coordinates):
Tb (0.000, 0.000, 0.000)
Pr (0.000, 0.275, 0.275)
Pr (0.000, 0.725, 0.725)
Pr (0.250, 0.500, 0.750)
Pr (0.250, 0.750, 0.500)
Pr (0.275, 0.000, 0.275)
Pr (0.275, 0.275, 0.000)
Pr (0.500, 0.250, 0.750)
Pr (0.500, 0.750, 0.250)
Pr (0.725, 0.000, 0.725)
Pr (0.725, 0.725, 0.000)
Pr (0.750, 0.250, 0.500)
Pr (0.750, 0.500, 0.250)
Tl (0.000, 0.000, 0.500)
Tl (0.000, 0.500, 0.000)
Tl (0.500, 0.000, 0.000)
Tl (0.500, 0.500, 0.500)
O (0.000, 0.500, 0.500)
O (0.500, 0.000, 0.500)
O (0.500, 0.500, 0.000)

Values from the calculation:
energy relative to the elements, uncorrected = -14.642 eV per formula unit
Fermi-level density of states = 0.890 states/eV per atom
crystal system = cubic

(3)
## Tb2Pr4Tl3O2 (PBE-GGA)

Data for a relaxed Tb2Pr4Tl3O2 crystal.

Cell lengths 13.184, 13.184, 13.184 Å; angles 158.66, 158.66, 30.36 degrees
Atoms (fractional coordinates):
Tb (0.198, 0.198, 0.000)
Tb (0.802, 0.802, 0.000)
Pr (0.087, 0.587, 0.500)
Pr (0.413, 0.913, 0.500)
Pr (0.587, 0.087, 0.500)
Pr (0.913, 0.413, 0.500)
Tl (0.321, 0.321, 0.000)
Tl (0.500, 0.500, 0.000)
Tl (0.679, 0.679, 0.000)
O (0.108, 0.108, 0.000)
O (0.892, 0.892, 0.000)

Values from the calculation:
energy relative to the elements, uncorrected = -12.858 eV per formula unit
Fermi-level density of states = 0.636 states/eV per atom
crystal system = tetragonal

(4)
## Tb2PrTlO (PBE-GGA)

Data for a relaxed Tb2PrTlO crystal.

Cell lengths 4.818, 4.818, 5.048 Å; angles 90.00, 90.00, 90.00 degrees
Atoms (fractional coordinates):
Tb (0.000, 0.500, 0.000)
Tb (0.500, 0.000, 0.000)
Pr (0.000, 0.000, 0.500)
Tl (0.500, 0.500, 0.500)
O (0.000, 0.000, 0.000)

Values from the calculation:
energy relative to the elements, uncorrected = -6.730 eV per formula unit
Fermi-level density of states = 0.346 states/eV per atom
crystal system = tetragonal

(5)
## TbPr2TlO6 (PBE-GGA)

Data for a relaxed TbPr2TlO6 crystal.

Cell lengths 6.214, 6.214, 6.214 Å; angles 57.83, 57.83, 57.83 degrees
Atoms (fractional coordinates):
Tb (0.000, 0.000, 0.000)
Pr (0.280, 0.280, 0.280)
Pr (0.778, 0.778, 0.778)
Tl (0.500, 0.500, 0.500)
O (0.114, 0.699, 0.370)
O (0.194, 0.621, 0.874)
O (0.370, 0.114, 0.699)
O (0.621, 0.874, 0.194)
O (0.699, 0.370, 0.114)
O (0.874, 0.194, 0.621)

Values from the calculation:
energy relative to the elements, uncorrected = -26.678 eV per formula unit
Fermi-level density of states = 0.000 states/eV per atom
crystal system = trigonal

(6)
## TbPr2TmO6 (PBE-GGA)

Data for a relaxed TbPr2TmO6 crystal.

Cell lengths 6.142, 6.142, 6.142 Å; angles 58.17, 58.17, 58.17 degrees
Atoms (fractional coordinates):
Tb (0.000, 0.000, 0.000)
Pr (0.276, 0.276, 0.276)
Pr (0.777, 0.777, 0.777)
Tm (0.498, 0.498, 0.498)
O (0.126, 0.697, 0.370)
O (0.204, 0.622, 0.863)
O (0.370, 0.126, 0.697)
O (0.622, 0.863, 0.204)
O (0.697, 0.370, 0.126)
O (0.863, 0.204, 0.622)

Values from the calculation:
energy relative to the elements, uncorrected = -34.253 eV per formula unit
Fermi-level density of states = 0.000 states/eV per atom
crystal system = trigonal

(7)
## TbPrUO6 (PBE-GGA)

Data for a relaxed TbPrUO6 crystal.

Cell lengths 5.854, 5.854, 9.770 Å; angles 90.00, 90.00, 120.00 degrees
Atoms (fractional coordinates):
Tb (0.333, 0.667, 0.250)
Tb (0.667, 0.333, 0.750)
Pr (0.000, 0.000, 0.000)
Pr (0.000, 0.000, 0.500)
U (0.333, 0.667, 0.750)
U (0.667, 0.333, 0.250)
O (0.024, 0.364, 0.638)
O (0.024, 0.661, 0.862)
O (0.339, 0.364, 0.862)
O (0.339, 0.976, 0.638)
O (0.364, 0.024, 0.138)
O (0.364, 0.339, 0.362)
O (0.636, 0.661, 0.638)
O (0.636, 0.976, 0.862)
O (0.661, 0.024, 0.362)
O (0.661, 0.636, 0.138)
O (0.976, 0.339, 0.138)
O (0.976, 0.636, 0.362)

Values from the calculation:
energy relative to the elements, uncorrected = -29.870 eV per formula unit
Fermi-level density of states = 0.000 states/eV per atom
crystal system = trigonal

(8)
## Tb2PrUO8 (PBE-GGA)

Data for a relaxed Tb2PrUO8 crystal.

Cell lengths 3.929, 5.366, 7.699 Å; angles 90.00, 90.00, 90.00 degrees
Atoms (fractional coordinates):
Tb (0.000, 0.000, 0.239)
Tb (0.000, 0.000, 0.761)
Pr (0.500, 0.500, 0.500)
U (0.500, 0.500, 0.000)
O (0.000, 0.231, 0.500)
O (0.000, 0.269, 0.000)
O (0.000, 0.731, 0.000)
O (0.000, 0.769, 0.500)
O (0.500, 0.257, 0.221)
O (0.500, 0.257, 0.779)
O (0.500, 0.743, 0.221)
O (0.500, 0.743, 0.779)

Values from the calculation:
energy relative to the elements, uncorrected = -38.842 eV per formula unit
Fermi-level density of states = 0.411 states/eV per atom
crystal system = orthorhombic

(9)
## Pr2TcO8 (PBE-GGA)

Data for a relaxed Pr2TcO8 crystal.

Cell lengths 5.056, 6.018, 6.136 Å; angles 65.77, 85.46, 68.37 degrees
Atoms (fractional coordinates):
Pr (0.160, 0.129, 0.188)
Pr (0.840, 0.871, 0.812)
Tc (0.000, 0.500, 0.500)
O (0.127, 0.538, 0.186)
O (0.148, 0.737, 0.517)
O (0.295, 0.960, 0.864)
O (0.349, 0.179, 0.666)
O (0.651, 0.821, 0.334)
O (0.705, 0.040, 0.136)
O (0.852, 0.263, 0.483)
O (0.873, 0.462, 0.814)

Values from the calculation:
energy relative to the elements, uncorrected = -21.190 eV per formula unit
Fermi-level density of states = 0.022 states/eV per atom
crystal system = triclinic

(10)
## Pr3TcO7 (PBE-GGA)

Data for a relaxed Pr3TcO7 crystal.

Cell lengths 6.738, 6.738, 7.704 Å; angles 90.00, 90.00, 108.48 degrees
Atoms (fractional coordinates):
Pr (0.039, 0.498, 0.259)
Pr (0.040, 0.040, 0.000)
Pr (0.498, 0.039, 0.741)
Pr (0.502, 0.961, 0.241)
Pr (0.960, 0.960, 0.500)
Pr (0.961, 0.502, 0.759)
Tc (0.499, 0.499, 0.500)
Tc (0.501, 0.501, 0.000)
O (0.130, 0.870, 0.750)
O (0.137, 0.863, 0.250)
O (0.182, 0.422, 0.978)
O (0.207, 0.457, 0.540)
O (0.422, 0.182, 0.022)
O (0.438, 0.562, 0.250)
O (0.457, 0.207, 0.460)
O (0.543, 0.793, 0.960)
O (0.562, 0.438, 0.750)
O (0.578, 0.818, 0.522)
O (0.793, 0.543, 0.040)
O (0.818, 0.578, 0.478)
O (0.863, 0.137, 0.750)
O (0.870, 0.130, 0.250)

Values from the calculation:
energy relative to the elements, uncorrected = -30.102 eV per formula unit
Fermi-level density of states = 0.312 states/eV per atom
crystal system = orthorhombic

(11)
## Pr2TcO6 (PBE-GGA)

Data for a relaxed Pr2TcO6 crystal.

Cell lengths 5.540, 6.252, 8.948 Å; angles 90.00, 122.08, 90.00 degrees
Atoms (fractional coordinates):
Pr (0.212, 0.094, 0.249)
Pr (0.212, 0.406, 0.749)
Pr (0.788, 0.594, 0.251)
Pr (0.788, 0.906, 0.751)
Tc (0.500, 0.000, 0.000)
Tc (0.500, 0.500, 0.500)
O (0.152, 0.151, 0.949)
O (0.152, 0.349, 0.449)
O (0.298, 0.730, 0.930)
O (0.298, 0.770, 0.430)
O (0.400, 0.052, 0.763)
O (0.400, 0.448, 0.263)
O (0.600, 0.552, 0.737)
O (0.600, 0.948, 0.237)
O (0.702, 0.230, 0.570)
O (0.702, 0.270, 0.070)
O (0.848, 0.651, 0.551)
O (0.848, 0.849, 0.051)

Values from the calculation:
energy relative to the elements, uncorrected = -22.139 eV per formula unit
Fermi-level density of states = 0.578 states/eV per atom
crystal system = monoclinic

(12)
## PrTcO3 (PBE-GGA)

Data for a relaxed PrTcO3 crystal.

Cell lengths 6.167, 6.167, 6.167 Å; angles 50.79, 50.79, 50.79 degrees
Atoms (fractional coordinates):
Pr (0.115, 0.115, 0.115)
Pr (0.885, 0.885, 0.885)
Tc (0.336, 0.336, 0.336)
Tc (0.664, 0.664, 0.664)
O (0.073, 0.529, 0.655)
O (0.345, 0.471, 0.927)
O (0.471, 0.927, 0.345)
O (0.529, 0.655, 0.073)
O (0.655, 0.073, 0.529)
O (0.927, 0.345, 0.471)

Values from the calculation:
energy relative to the elements, uncorrected = -9.552 eV per formula unit
Fermi-level density of states = 0.580 states/eV per atom
crystal system = trigonal

(13)
## Pr2TcO6 (PBE-GGA)

Data for a relaxed Pr2TcO6 crystal.

Cell lengths 6.449, 6.449, 6.449 Å; angles 144.84, 129.69, 62.86 degrees
Atoms (fractional coordinates):
Pr (0.166, 0.166, 0.000)
Pr (0.834, 0.834, 0.000)
Tc (0.500, 0.500, 0.000)
O (0.124, 0.358, 0.766)
O (0.295, 0.000, 0.295)
O (0.409, 0.642, 0.766)
O (0.591, 0.358, 0.234)
O (0.705, 0.000, 0.705)
O (0.876, 0.642, 0.234)

Values from the calculation:
energy relative to the elements, uncorrected = -19.860 eV per formula unit
Fermi-level density of states = 0.397 states/eV per atom
crystal system = orthorhombic

(14)
## Pr2TcO (PBE-GGA)

Data for a relaxed Pr2TcO crystal.

Cell lengths 3.529, 3.529, 24.326 Å; angles 90.00, 90.00, 120.00 degrees
Atoms (fractional coordinates):
Pr (0.000, 0.000, 0.105)
Pr (0.000, 0.000, 0.895)
Pr (0.333, 0.667, 0.561)
Pr (0.333, 0.667, 0.772)
Pr (0.667, 0.333, 0.228)
Pr (0.667, 0.333, 0.439)
Tc (0.000, 0.000, 0.000)
Tc (0.333, 0.667, 0.667)
Tc (0.667, 0.333, 0.333)
O (0.000, 0.000, 0.500)
O (0.333, 0.667, 0.167)
O (0.667, 0.333, 0.833)

Values from the calculation:
energy relative to the elements, uncorrected = -2.186 eV per formula unit
Fermi-level density of states = 0.800 states/eV per atom
crystal system = trigonal

(15)
## Pr2TcO8 (PBE-GGA)

Data for a relaxed Pr2TcO8 crystal.

Cell lengths 7.549, 7.549, 4.707 Å; angles 107.85, 107.85, 32.53 degrees
Atoms (fractional coordinates):
Pr (0.178, 0.178, 0.185)
Pr (0.822, 0.822, 0.815)
Tc (0.500, 0.500, 0.500)
O (0.003, 0.003, 0.664)
O (0.244, 0.244, 0.764)
O (0.373, 0.373, 0.443)
O (0.455, 0.455, 0.035)
O (0.545, 0.545, 0.965)
O (0.627, 0.627, 0.557)
O (0.756, 0.756, 0.236)
O (0.997, 0.997, 0.336)

Values from the calculation:
energy relative to the elements, uncorrected = -18.978 eV per formula unit
Fermi-level density of states = 0.147 states/eV per atom
crystal system = monoclinic

(16)
## PrTl2TcO6 (PBE-GGA)

Data for a relaxed PrTl2TcO6 crystal.

Cell lengths 6.436, 6.436, 6.048 Å; angles 90.00, 90.00, 120.00 degrees
Atoms (fractional coordinates):
Pr (0.000, 0.000, 0.000)
Tl (0.333, 0.667, 0.471)
Tl (0.667, 0.333, 0.529)
Tc (0.000, 0.000, 0.500)
O (0.137, 0.274, 0.692)
O (0.137, 0.863, 0.692)
O (0.274, 0.137, 0.308)
O (0.726, 0.863, 0.692)
O (0.863, 0.137, 0.308)
O (0.863, 0.726, 0.308)

Values from the calculation:
energy relative to the elements, uncorrected = -14.907 eV per formula unit
crystal system = trigonal

(17)
## PrTlTcO5 (PBE-GGA)

Data for a relaxed PrTlTcO5 crystal.

Cell lengths 6.669, 6.669, 8.513 Å; angles 105.66, 105.66, 106.10 degrees
Atoms (fractional coordinates):
Pr (0.000, 0.000, 0.000)
Pr (0.000, 0.000, 0.500)
Tl (0.301, 0.699, 0.750)
Tl (0.699, 0.301, 0.250)
Tc (0.313, 0.687, 0.250)
Tc (0.687, 0.313, 0.750)
O (0.082, 0.918, 0.750)
O (0.132, 0.704, 0.372)
O (0.229, 0.406, 0.101)
O (0.296, 0.868, 0.128)
O (0.406, 0.229, 0.601)
O (0.594, 0.771, 0.399)
O (0.704, 0.132, 0.872)
O (0.771, 0.594, 0.899)
O (0.868, 0.296, 0.628)
O (0.918, 0.082, 0.250)

Values from the calculation:
energy relative to the elements, uncorrected = -14.640 eV per formula unit
Fermi-level density of states = 0.684 states/eV per atom
crystal system = monoclinic

(18)
## PrTlTcO6 (PBE-GGA)

Data for a relaxed PrTlTcO6 crystal.

Cell lengths 5.740, 5.740, 4.805 Å; angles 90.06, 90.06, 120.06 degrees
Atoms (fractional coordinates):
Pr (0.000, 0.000, 0.000)
Tl (0.667, 0.333, 0.500)
Tc (0.333, 0.667, 0.000)
O (0.059, 0.671, 0.773)
O (0.060, 0.389, 0.226)
O (0.328, 0.389, 0.773)
O (0.329, 0.941, 0.227)
O (0.611, 0.672, 0.227)
O (0.611, 0.940, 0.774)

Values from the calculation:
energy relative to the elements, uncorrected = -14.168 eV per formula unit
Fermi-level density of states = 0.360 states/eV per atom
crystal system = monoclinic

(19)
## Pr2Tl2TcO6 (PBE-GGA)

Data for a relaxed Pr2Tl2TcO6 crystal.

Cell lengths 6.053, 6.053, 6.748 Å; angles 97.30, 97.30, 119.58 degrees
Atoms (fractional coordinates):
Pr (0.165, 0.835, 0.000)
Pr (0.835, 0.165, 0.000)
Tl (0.341, 0.659, 0.500)
Tl (0.659, 0.341, 0.500)
Tc (0.500, 0.500, 0.000)
O (0.158, 0.456, 0.838)
O (0.265, 0.265, 0.179)
O (0.456, 0.158, 0.838)
O (0.544, 0.842, 0.162)
O (0.735, 0.735, 0.821)
O (0.842, 0.544, 0.162)

Values from the calculation:
energy relative to the elements, uncorrected = -20.968 eV per formula unit
crystal system = monoclinic

(20)
## Pr3Tl3TcO8 (PBE-GGA)

Data for a relaxed Pr3Tl3TcO8 crystal.

Cell lengths 7.722, 7.722, 7.722 Å; angles 54.97, 54.97, 54.97 degrees
Atoms (fractional coordinates):
Pr (0.000, 0.500, 0.500)
Pr (0.500, 0.000, 0.500)
Pr (0.500, 0.500, 0.000)
Tl (0.000, 0.000, 0.500)
Tl (0.000, 0.500, 0.000)
Tl (0.500, 0.000, 0.000)
Tc (0.000, 0.000, 0.000)
O (0.202, 0.202, 0.761)
O (0.202, 0.761, 0.202)
O (0.239, 0.798, 0.798)
O (0.274, 0.274, 0.274)
O (0.726, 0.726, 0.726)
O (0.761, 0.202, 0.202)
O (0.798, 0.239, 0.798)
O (0.798, 0.798, 0.239)

Values from the calculation:
energy relative to the elements, uncorrected = -29.583 eV per formula unit
crystal system = trigonal